Entry 1:
Entry from OQMD via LeMat-Bulk: an optimized crystal structure of YAgGe (PBE).

Unit cell a=7.3325 b=7.3325 c=4.1570 alpha=90.00 beta=90.00 gamma=120.00
Space group P-62m (No. 189)
Asymmetric unit:
1 Y 0.0000 0.6001 0.0000 [3 per cell]
2 Ag 0.0000 0.0000 0.0000 [1 per cell]
3 Ag 0.3333 0.6667 0.5000 [2 per cell]
4 Ge 0.0000 0.2655 0.5000 [3 per cell]

Properties
For the mass density, the calculation gives 6.93 g/cm³. Its total energy is -5.07 eV per atom.



Entry 2:
Entry from OQMD via LeMat-Bulk: an optimized crystal structure of Y2AgGe (PBE).

Unit cell a=7.244 b=7.244 c=7.244 alpha=90.00 beta=90.00 gamma=90.00
Space group F-43m (No. 216)
Asymmetric unit:
1 Y 0.000 0.000 0.000 [4 per cell]
2 Y 0.250 0.250 0.250 [4 per cell]
3 Ag 0.250 0.250 0.750 [4 per cell]
4 Ge 0.000 0.000 0.500 [4 per cell]

Properties
For the mass density, the calculation gives 6.26 g/cm³. Its total energy is -5.02 eV per atom.



Entry 3:
Entry from OQMD via LeMat-Bulk: an optimized crystal structure of Y2AgGe (PBE).

Unit cell a=4.321 b=4.101 c=11.040 alpha=90.00 beta=90.00 gamma=90.00
Space group Amm2 (No. 38)
Asymmetric unit:
1 Y 0.000 0.000 0.000 [2 per cell]
2 Y 0.500 0.000 0.278 [2 per cell]
3 Ag 0.000 0.000 0.719 [2 per cell]
4 Ge 0.500 0.000 0.552 [2 per cell]

Properties
For the mass density, the calculation gives 6.08 g/cm³. Its total energy is -5.70 eV per atom.



Entry 4:
Entry from OQMD via LeMat-Bulk: an optimized crystal structure of YAgGe (PBE).

Unit cell a=7.1666 b=7.1666 c=4.2487 alpha=90.00 beta=90.00 gamma=120.00
Space group P-62m (No. 189)
Asymmetric unit:
1 Y 0.0000 0.5827 0.0000 [3 per cell]
2 Ag 0.0000 0.2498 0.5000 [3 per cell]
3 Ge 0.0000 0.0000 0.0000 [1 per cell]
4 Ge 0.3333 0.6667 0.5000 [2 per cell]

Properties
For the mass density, the calculation gives 7.10 g/cm³. Its total energy is -5.31 eV per atom.



Entry 5:
Entry from OQMD via LeMat-Bulk: an optimized crystal structure of YAg2Ge (PBE).

Unit cell a=6.881 b=6.881 c=6.881 alpha=90.00 beta=90.00 gamma=90.00
Space group F-43m (No. 216)
Asymmetric unit:
1 Y 0.000 0.000 0.000 [4 per cell]
2 Ag 0.000 0.000 0.500 [4 per cell]
3 Ag 0.250 0.250 0.250 [4 per cell]
4 Ge 0.250 0.250 0.750 [4 per cell]

Properties
For the mass density, the calculation gives 7.69 g/cm³. Its total energy is -4.51 eV per atom.



Entry 6:
Entry from OQMD via LeMat-Bulk: an optimized crystal structure of ZnAgGe (PBE).

Unit cell a=6.151 b=6.151 c=6.151 alpha=90.00 beta=90.00 gamma=90.00
Space group F-43m (No. 216)
Asymmetric unit:
1 Zn 0.000 0.000 0.000 [4 per cell]
2 Ag 0.000 0.000 0.500 [4 per cell]
3 Ge 0.250 0.250 0.750 [4 per cell]

Properties
For the mass density, the calculation gives 7.02 g/cm³. Its total energy is -2.78 eV per atom.



Entry 7:
Entry from OQMD via LeMat-Bulk: an optimized crystal structure of ZnAg2Ge (PBE).

Unit cell a=6.576 b=6.576 c=6.576 alpha=90.00 beta=90.00 gamma=90.00
Space group F-43m (No. 216)
Asymmetric unit:
1 Zn 0.000 0.000 0.000 [4 per cell]
2 Ag 0.000 0.000 0.500 [4 per cell]
3 Ag 0.250 0.250 0.250 [4 per cell]
4 Ge 0.250 0.250 0.750 [4 per cell]

Properties
For the mass density, the calculation gives 8.26 g/cm³. Its total energy is -2.74 eV per atom.



Entry 8:
Entry from OQMD via LeMat-Bulk: an optimized crystal structure of Zn2AgGe (PBE).

Unit cell a=6.527 b=6.527 c=6.527 alpha=90.00 beta=90.00 gamma=90.00
Space group F-43m (No. 216)
Asymmetric unit:
1 Zn 0.000 0.000 0.000 [4 per cell]
2 Zn 0.250 0.250 0.250 [4 per cell]
3 Ag 0.250 0.250 0.750 [4 per cell]
4 Ge 0.000 0.000 0.500 [4 per cell]

Properties
For the mass density, the calculation gives 7.44 g/cm³. Its total energy is -2.31 eV per atom.



Entry 9:
Entry from OQMD via LeMat-Bulk: an optimized crystal structure of Zr3AgGe5 (PBE).

Unit cell a=5.8860 b=5.8860 c=6.8636 alpha=90.00 beta=90.00 gamma=120.00
Space group P6/mmm (No. 191)
Asymmetric unit:
1 Zr 0.0000 0.5000 0.0000 [3 per cell]
2 Ag 0.0000 0.0000 0.5000 [1 per cell]
3 Ge 0.0000 0.0000 0.0000 [1 per cell]
4 Ge 0.3333 0.6667 0.3269 [4 per cell]

Properties
For the mass density, the calculation gives 6.01 g/cm³. Its total energy is -5.64 eV per atom.



Entry 10:
Entry from OQMD via LeMat-Bulk: an optimized crystal structure of Zr2Ag2Ge3 (PBE).

Unit cell a=4.4227 b=4.4227 c=25.0631 alpha=90.00 beta=90.00 gamma=120.00
Space group R3m (No. 160, hexagonal axes)
Asymmetric unit:
1 Zr 0.0000 0.0000 0.0000 [3 per cell]
2 Zr 0.0000 0.0000 0.4983 [3 per cell]
3 Ag 0.0000 0.0000 0.2475 [3 per cell]
4 Ag 0.0000 0.0000 0.7499 [3 per cell]
5 Ge 0.0000 0.0000 0.3908 [3 per cell]
6 Ge 0.0000 0.0000 0.6228 [3 per cell]
7 Ge 0.0000 0.0000 0.8624 [3 per cell]

Properties
For the mass density, the calculation gives 7.23 g/cm³. Its total energy is -5.36 eV per atom.



Entry 11:
Entry from OQMD via LeMat-Bulk: an optimized crystal structure of Zr2Ag2Ge (PBE).

Unit cell a=4.164 b=4.164 c=13.074 alpha=90.00 beta=90.00 gamma=90.00
Space group I4/mmm (No. 139)
Asymmetric unit:
1 Zr 0.000 0.500 0.250 [4 per cell]
2 Ag 0.000 0.000 0.098 [4 per cell]
3 Ge 0.000 0.000 0.500 [2 per cell]

Properties
For the mass density, the calculation gives 6.90 g/cm³. The offset from the most stable computed form is 317 meV per atom.



Entry 12:
Entry from OQMD via LeMat-Bulk: an optimized crystal structure of Zr3Ag4Ge4 (PBE).

Unit cell a=6.703 b=4.064 c=8.041 alpha=90.00 beta=91.10 gamma=90.00
Space group Pm (No. 6)
Asymmetric unit:
1 Zr 0.000 0.000 0.000 [1 per cell]
2 Zr 0.085 0.500 0.379 [1 per cell]
3 Zr 0.500 0.000 0.885 [1 per cell]
4 Ag 0.169 0.500 0.745 [1 per cell]
5 Ag 0.407 0.000 0.267 [1 per cell]
6 Ag 0.683 0.500 0.146 [1 per cell]
7 Ag 0.865 0.000 0.623 [1 per cell]
8 Ge 0.281 0.500 0.065 [1 per cell]
9 Ge 0.320 0.000 0.579 [1 per cell]
10 Ge 0.771 0.500 0.823 [1 per cell]
11 Ge 0.821 0.000 0.306 [1 per cell]

Properties
For the mass density, the calculation gives 7.55 g/cm³. The offset from the most stable computed form is 0 meV per atom.



Entry 13:
Entry from OQMD via LeMat-Bulk: an optimized crystal structure of ZrAgGe (PBE).

Unit cell a=6.316 b=6.316 c=6.316 alpha=90.00 beta=90.00 gamma=90.00
Space group F-43m (No. 216)
Asymmetric unit:
1 Zr 0.000 0.000 0.000 [4 per cell]
2 Ag 0.250 0.250 0.750 [4 per cell]
3 Ge 0.000 0.000 0.500 [4 per cell]

Properties
For the mass density, the calculation gives 7.16 g/cm³. Its total energy is -5.32 eV per atom.



Entry 14:
Entry from OQMD via LeMat-Bulk: an optimized crystal structure of Zr2AgGe (PBE).

Unit cell a=6.879 b=6.879 c=6.879 alpha=90.00 beta=90.00 gamma=90.00
Space group F-43m (No. 216)
Asymmetric unit:
1 Zr 0.000 0.000 0.000 [4 per cell]
2 Zr 0.250 0.250 0.250 [4 per cell]
3 Ag 0.000 0.000 0.500 [4 per cell]
4 Ge 0.250 0.250 0.750 [4 per cell]

Properties
For the mass density, the calculation gives 7.41 g/cm³. Its total energy is -5.91 eV per atom.



Entry 15:
Entry from OQMD via LeMat-Bulk: an optimized crystal structure of Zr2Ag2Ge (PBE).

Unit cell a=3.708 b=3.708 c=15.220 alpha=90.00 beta=90.00 gamma=90.00
Space group I4/mmm (No. 139)
Asymmetric unit:
1 Zr 0.000 0.000 0.093 [4 per cell]
2 Ag 0.000 0.500 0.250 [4 per cell]
3 Ge 0.000 0.000 0.500 [2 per cell]

Properties
For the mass density, the calculation gives 7.47 g/cm³. The offset from the most stable computed form is 0 meV per atom.



Entry 16:
Entry from OQMD via LeMat-Bulk: an optimized crystal structure of Zr3Ag4Ge4 (PBE).

Unit cell a=6.000 b=6.000 c=12.380 alpha=90.00 beta=90.00 gamma=90.00
Space group I-42m (No. 121)
Asymmetric unit:
1 Zr 0.000 0.000 0.000 [2 per cell]
2 Zr 0.000 0.500 0.250 [4 per cell]
3 Ag 0.169 0.169 0.597 [8 per cell]
4 Ge 0.000 0.000 0.225 [4 per cell]
5 Ge 0.000 0.500 0.000 [4 per cell]

Properties
For the mass density, the calculation gives 7.42 g/cm³. The offset from the most stable computed form is 136 meV per atom.



Entry 17:
Entry from OQMD via LeMat-Bulk: an optimized crystal structure of ZrAgGe (PBE).

Unit cell a=6.484 b=6.484 c=6.484 alpha=90.00 beta=90.00 gamma=90.00
Space group F-43m (No. 216)
Asymmetric unit:
1 Zr 0.000 0.000 0.000 [4 per cell]
2 Ag 0.250 0.250 0.750 [4 per cell]
3 Ge 0.250 0.250 0.250 [4 per cell]

Properties
For the mass density, the calculation gives 6.62 g/cm³. Its total energy is -5.27 eV per atom.



Entry 18:
Entry from OQMD via LeMat-Bulk: an optimized crystal structure of Zr3Ag2Ge2 (PBE).

Unit cell a=4.6911 b=4.6911 c=23.2646 alpha=90.00 beta=90.00 gamma=120.00
Space group R3m (No. 160, hexagonal axes)
Asymmetric unit:
1 Zr 0.0000 0.0000 0.0000 [3 per cell]
2 Zr 0.0000 0.0000 0.2473 [3 per cell]
3 Zr 0.0000 0.0000 0.7521 [3 per cell]
4 Ag 0.0000 0.0000 0.3859 [3 per cell]
5 Ag 0.0000 0.0000 0.8698 [3 per cell]
6 Ge 0.0000 0.0000 0.1261 [3 per cell]
7 Ge 0.0000 0.0000 0.6254 [3 per cell]

Properties
For the mass density, the calculation gives 7.13 g/cm³. Its total energy is -5.97 eV per atom.



Entry 19:
Entry from OQMD via LeMat-Bulk: an optimized crystal structure of AgH2 (PBE).

Unit cell a=5.977 b=5.977 c=5.977 alpha=90.00 beta=90.00 gamma=90.00
Space group Fd-3m (No. 227, origin choice 2)
Asymmetric unit:
1 Ag 0.125 0.125 0.125 [8 per cell]
2 H 0.000 0.000 0.500 [16 per cell]

Properties
For the mass density, the calculation gives 6.84 g/cm³. Its total energy is -2.13 eV per atom.



Entry 20:
Entry from OQMD via LeMat-Bulk: an optimized crystal structure of Ag5H (PBE).

Unit cell a=5.4072 b=5.4072 c=4.6424 alpha=90.00 beta=90.00 gamma=120.00
Space group P6/mmm (No. 191)
Asymmetric unit:
1 Ag 0.0000 0.5000 0.0000 [3 per cell]
2 Ag 0.3333 0.6667 0.5000 [2 per cell]
3 H 0.0000 0.0000 0.5000 [1 per cell]

Properties
For the mass density, the calculation gives 7.63 g/cm³. Its total energy is -2.36 eV per atom.